K2Na3In, optimized geometry, DFT PBE; formation energy from the elements = -29 meV per atom; D(E_F) = 3.51 states/eV per cell; total DFT energy (no corrections) = -1.5109 eV per atom; space group = C2/m, No. 12
1.0
6.2811 -0.1986 -3.3466
-3.9838 5.8947 -0.2704
-0.4392 0.0833 6.8754
K Na In
2 3 1
direct
0.7419 0.3709 0.1128
0.2581 0.6291 0.8872
0.5000 0.5000 0.5000
0.0000 0.0000 0.5000
0.5000 0.0000 0.5000
0.0000 0.0000 0.0000